Entry 1:
A relaxed Mg3TlRu crystal, computed with PBE.

The magnetic moment is 0.0 Bohr magnetons per cell. The calculation puts the energy at -15.1 eV for the cell shown. The value obtained for the distance to the lowest polymorph of the same formula is 0 kJ/mol of formula units. The formation energy comes out at 268 meV/atom.

Cell and atoms, written as CIF:
```
data_Mg3TlRu
_chemical_formula_sum 'Mg3 Tl1 Ru1'
_cell_length_a 5.015
_cell_length_b 5.015
_cell_length_c 5.015
_cell_angle_alpha 90.00
_cell_angle_beta 90.00
_cell_angle_gamma 90.00
_space_group_name_H-M_alt 'P m -3 m'
_space_group_IT_number 221
_space_group_name_Hall '-P 4 2 3'
loop_
_atom_site_label
_atom_site_fract_x
_atom_site_fract_y
_atom_site_fract_z
Mg1 0.000 0.000 0.500
Tl1 0.500 0.500 0.500
Ru1 0.000 0.000 0.000
```

***

Entry 2:
A relaxed RbBa2SbO6 crystal, computed with PBE.

The magnetic moment is 4.0 Bohr magnetons per cell. The calculation puts the energy at -113.0 eV for the cell shown.

Cell and atoms, written as CIF:
```
data_RbBa2SbO6
_chemical_formula_sum 'Rb2 Ba4 Sb2 O12'
_cell_length_a 6.322
_cell_length_b 6.668
_cell_length_c 10.899
_cell_angle_alpha 90.00
_cell_angle_beta 124.06
_cell_angle_gamma 90.00
_space_group_name_H-M_alt 'P 1 21/c 1'
_space_group_IT_number 14
loop_
_space_group_symop_operation_xyz
'x,y,z'
'-x,-y,-z'
'-x,y+1/2,-z+1/2'
'x,-y+1/2,z+1/2'
loop_
_atom_site_label
_atom_site_fract_x
_atom_site_fract_y
_atom_site_fract_z
Rb1 0.000 0.000 0.000
Ba1 0.227 0.050 0.740
Sb1 0.500 0.000 0.500
O1 0.198 0.155 0.463
O2 0.275 0.745 0.920
O3 0.409 0.072 0.297
```